The following is a GGA-PBE calculation of Ti2Ni6Ir after structural relaxation, from Alexandria via LeMat-Bulk.

As for the mass density: 9.11 g cm⁻³. The calculation puts the total DFT energy (no corrections) at -61.19 eV/cell. For the formation energy, the calculation gives -206 meV/atom. Its space group is P-3m1.

Lattice parameters (Å, degrees): 5.8253 4.8083 4.8083 120.00 90.00 90.00
Closest atoms and distances in Å follow each position.
Atoms (fractional coordinates):
Ti  0.3720  0.6667  0.3333  9 Ni 2.69-3.00, 3 Ir 2.87
Ti  0.6280  0.3333  0.6667  9 Ni 2.69-3.00, 3 Ir 2.87
Ni  0.8335  0.8278  0.6555  6 Ni 2.32-2.48, 1 Ir 2.42
Ni  0.8335  0.8278  0.1722  6 Ni 2.32-2.48, 1 Ir 2.42
Ni  0.1665  0.6555  0.8278  6 Ni 2.32-2.48, 1 Ir 2.42
Ni  0.8335  0.3445  0.1722  6 Ni 2.32-2.48, 1 Ir 2.42
Ni  0.1665  0.1722  0.8278  6 Ni 2.32-2.48, 1 Ir 2.42
Ni  0.1665  0.1722  0.3445  6 Ni 2.32-2.48, 1 Ir 2.42
Ir  0.5000  0.0000  0.0000  6 Ni 2.42

=====

The following is a GGA-PBE calculation of LiHfMg2 after structural relaxation, from Alexandria via LeMat-Bulk.

As for the mass density: 4.52 g cm⁻³. The calculation puts the total DFT energy (no corrections) at -14.75 eV/cell. For the formation energy, the calculation gives 78 meV/atom. The offset from the most stable computed form is 18 meV/atom. Its space group is Cmmm.

Lattice parameters (Å, degrees): 2.9863 2.9863 10.4539 90.00 90.00 112.79
Closest atoms and distances in Å follow each position.
Atoms (fractional coordinates):
Li  0.5000  0.5000  0.2500  6 Li 2.99-3.31, 4 Mg 3.04
Hf  0.5000  0.5000  0.7500  6 Hf 2.99-3.31, 4 Mg 3.14
Mg  0.0000  0.0000  0.0057  6 Mg 2.99-3.31, 2 Li 3.04, 2 Hf 3.14
Mg  0.0000  0.0000  0.4943  6 Mg 2.99-3.31, 2 Li 3.04, 2 Hf 3.14

=====

The following is a GGA-PBE calculation of Nd3FeHg after structural relaxation, from Alexandria via LeMat-Bulk.

As for the mass density: 8.16 g cm⁻³. The calculation puts the total DFT energy (no corrections) at -47.44 eV/cell. For the formation energy, the calculation gives -130 meV/atom. The offset from the most stable computed form is 0 meV/atom. Its space group is P2_1/m.

Lattice parameters (Å, degrees): 3.8047 8.8956 8.8088 109.84 90.00 90.00
Closest atoms and distances in Å follow each position.
Atoms (fractional coordinates):
Nd  0.2500  0.5833  0.3261  3 Fe 3.01-3.18, 3 Hg 3.29-3.31
Nd  0.7500  0.4167  0.6739  3 Fe 3.01-3.18, 3 Hg 3.29-3.31
Nd  0.2500  0.0735  0.6818  3 Hg 3.20-3.53, 1 Fe 3.21, 2 Nd 3.57
Nd  0.7500  0.2284  0.0548  3 Fe 2.99-3.05, 2 Hg 3.30
Nd  0.7500  0.9265  0.3182  3 Hg 3.20-3.53, 1 Fe 3.21, 2 Nd 3.57
Nd  0.2500  0.7716  0.9452  3 Fe 2.99-3.05, 2 Hg 3.30
Fe  0.7500  0.5724  0.0571  2 Fe 2.33
Fe  0.2500  0.4276  0.9429  2 Fe 2.33
Hg  0.7500  0.7732  0.6395  8 Nd 3.20-3.53
Hg  0.2500  0.2268  0.3605  8 Nd 3.20-3.53

=====

The following is a GGA-PBE calculation of TaTe2Pt after structural relaxation, from Alexandria via LeMat-Bulk.

As for the mass density: 12.37 g cm⁻³. As for the raw formation energy: 0.4496 eV per atom. The calculation puts the total DFT energy (no corrections) at -22.38 eV/cell. Its space group is F-43m.

Lattice parameters (Å, degrees): 4.9307 4.9307 4.9307 60.00 60.00 60.00
Closest atoms and distances in Å follow each position.
Atoms (fractional coordinates):
Pt  0.5000  0.5000  0.5000  4 Ta 3.02, 4 Te 3.02
Ta  0.7500  0.7500  0.7500  4 Te 3.02, 4 Pt 3.02
Te  0.0000  0.0000  0.0000  4 Ta 3.02, 4 Te 3.02
Te  0.2500  0.2500  0.2500  4 Te 3.02, 4 Pt 3.02

=====

The following is a GGA-PBE calculation of CsHg2GePb after structural relaxation, from Alexandria via LeMat-Bulk.

As for the mass density: 7.19 g cm⁻³. The calculation puts the total DFT energy (no corrections) at -9.49 eV/cell. For the formation energy, the calculation gives 59 meV/atom. Its space group is P4/mmm.

Lattice parameters (Å, degrees): 5.7743 5.7743 5.6383 90.00 90.00 90.00
Closest atoms and distances in Å follow each position.
Atoms (fractional coordinates):
Pb  0.0000  0.0000  0.5000  2 Ge 2.82
Cs  0.5000  0.5000  0.5000  8 Hg 4.04, 4 Pb 4.08
Ge  0.0000  0.0000  0.0000  2 Pb 2.82, 4 Hg 2.89
Hg  0.0000  0.5000  0.0000  2 Ge 2.89
Hg  0.5000  0.0000  0.0000  2 Ge 2.89

=====

The following is a GGA-PBE calculation of NdSm3Si2 after structural relaxation, from Alexandria via LeMat-Bulk.

As for the mass density: 6.62 g cm⁻³. As for the raw formation energy: -0.4801 eV per atom. The calculation puts the total DFT energy (no corrections) at -65.30 eV/cell. Its space group is C2/m.

Lattice parameters (Å, degrees): 4.4253 10.0043 9.3462 124.90 90.00 102.78
Closest atoms and distances in Å follow each position.
Atoms (fractional coordinates):
Nd  0.8842  0.7684  0.9006  6 Si 3.08-3.25, 1 Sm 3.44
Nd  0.1158  0.2316  0.0994  6 Si 3.08-3.25, 1 Sm 3.44
Sm  0.3095  0.6190  0.5038  3 Si 3.02-3.13, 4 Sm 3.18-3.25
Sm  0.9536  0.9072  0.6047  3 Si 3.00-3.23, 3 Sm 3.25-3.36
Sm  0.6525  0.3051  0.8300  4 Si 3.04-3.31
Sm  0.3475  0.6949  0.1700  4 Si 3.04-3.31
Sm  0.0464  0.0928  0.3953  3 Si 3.00-3.23, 3 Sm 3.25-3.36
Sm  0.6905  0.3810  0.4962  3 Si 3.02-3.13, 4 Sm 3.18-3.25
Si  0.4914  0.9827  0.8579  1 Si 2.47
Si  0.5086  0.0173  0.1421  1 Si 2.47
Si  0.7642  0.5284  0.2418  6 Sm 3.02-3.23, 2 Nd 3.25
Si  0.2358  0.4716  0.7582  6 Sm 3.02-3.23, 2 Nd 3.25

=====

The following is a GGA-PBE calculation of KZnH6Rh after structural relaxation, from Alexandria via LeMat-Bulk.

As for the mass density: 3.34 g cm⁻³. The calculation puts the total DFT energy (no corrections) at -31.58 eV/cell. Its space group is P312.

Lattice parameters (Å, degrees): 4.6348 4.6348 5.6998 90.00 90.00 60.00
Closest atoms and distances in Å follow each position.
Atoms (fractional coordinates):
K  0.0000  0.0000  0.0000  6 H 2.51
Zn  0.6666  0.6667  0.5000  6 H 1.91
H  0.0402  0.3434  0.3253  1 Rh 1.67
H  0.3434  0.0403  0.6747  1 Rh 1.67
H  0.6163  0.3434  0.6747  1 Rh 1.67
H  0.0403  0.6163  0.6747  1 Rh 1.67
H  0.3434  0.6163  0.3253  1 Rh 1.67
H  0.6162  0.0403  0.3253  1 Rh 1.67
Rh  0.3333  0.3333  0.5000  6 H 1.67

=====

The following is a GGA-PBE calculation of Mg2MnOs after structural relaxation, from Alexandria via LeMat-Bulk.

As for the mass density: 7.44 g cm⁻³. The calculation puts the total DFT energy (no corrections) at -22.71 eV/cell. For the formation energy, the calculation gives 219 meV/atom. The offset from the most stable computed form is 135 meV/atom. Its space group is Cm.

Lattice parameters (Å, degrees): 5.5059 5.5059 4.7926 62.57 62.57 30.94
Closest atoms and distances in Å follow each position.
Atoms (fractional coordinates):
Mg  0.9825  0.9825  0.9750  3 Os 2.81-2.96, 4 Mn 2.82-2.86, 5 Mg 2.91-3.03
Mg  0.7622  0.7622  0.7774  4 Os 2.78-2.87, 3 Mn 2.89-2.91, 5 Mg 2.91-3.03
Mn  0.5265  0.5265  0.4242  2 Os 2.45
Os  0.2288  0.2288  0.3234  2 Mn 2.45

=====

| no. | total magnetic moment (μB per formula unit) |
| --- | --- |
| 1 | 0.0 |
| 2 | 0.0 |
| 3 | 1.4 |
| 4 | 0.0 |
| 5 | 0.0 |
| 6 | 0.0 |
| 7 | 0.0 |
| 8 | 2.9 |